w | First-principles (GGA-PBE) data for a geometry-optimized TbPrErTl structure, as listed in the Alexandria database.

The value obtained for the volume is 30.04 Å³/atom. The value obtained for the spin magnetization is 4.7 Bohr magnetons per cell.

The space group is F-43m (No. 216) and the conventional cell measures 7.833, 7.833 and 7.833 Å, with angles of 90.00, 90.00 and 90.00 degrees. Symmetry generates all atoms from Tb at (0.000, 0.000, 0.000), Pr at (0.000, 0.000, 0.500), Er at (0.250, 0.250, 0.750) and Tl at (0.250, 0.250, 0.250).



x | First-principles (GGA-PBE) data for a geometry-optimized TbPrErTl structure, as listed in the Alexandria database.

The value obtained for the volume is 29.54 Å³/atom. The value obtained for the spin magnetization is 0.0 Bohr magnetons per cell.

The space group is Pmmm (No. 47) and the conventional cell measures 4.845, 4.906 and 4.971 Å, with angles of 90.00, 90.00 and 90.00 degrees. Symmetry generates all atoms from Tb at (0.000, 0.000, 0.000), Pr at (0.500, 0.500, 0.000), Er at (0.000, 0.500, 0.500) and Tl at (0.500, 0.000, 0.500).



It comes down to x, which is 127 meV per atom more stable than the next structure.



w | First-principles (GGA-PBE) data for a geometry-optimized TbPrYEr structure, as listed in the Alexandria database.

The value obtained for the volume is 33.09 Å³/atom. The value obtained for the spin magnetization is 0.0 Bohr magnetons per cell.

The space group is Pmm2 (No. 25) and the conventional cell measures 3.448, 5.676 and 6.763 Å, with angles of 90.00, 90.00 and 90.00 degrees. Symmetry generates all atoms from Tb at (0.000, 0.000, 0.000), Pr at (0.000, 0.500, 0.746), Y at (0.000, 0.500, 0.262) and Er at (0.500, 0.000, 0.496).



x | First-principles (GGA-PBE) data for a geometry-optimized TbPrYEr structure, as listed in the Alexandria database.

The value obtained for the volume is 33.11 Å³/atom. The value obtained for the spin magnetization is 0.0 Bohr magnetons per cell.

The space group is F-43m (No. 216) and the conventional cell measures 8.091, 8.091 and 8.091 Å, with angles of 90.00, 90.00 and 90.00 degrees. Symmetry generates all atoms from Tb at (0.000, 0.000, 0.000), Pr at (0.250, 0.250, 0.250), Y at (0.250, 0.250, 0.750) and Er at (0.000, 0.000, 0.500).



It comes down to x, which is 60 meV per atom more stable than the next structure.